Entry 1:
Below is a relaxed structure of TbNd3Zn, with properties calculated at the GGA-PBE level.

Computed properties:
E above lowest polymorph, eV/atom: 0.0000
ΔH_f (0 K), eV/atom: -0.12
Symmetry: P-1

Cell: 3.709 6.543 13.201 Å, 93.62 90.04 106.46°
Fractional coordinates of all 10 atoms:
Tb: 0.200 0.402 0.278
Tb: 0.800 0.598 0.722
Nd: 0.071 0.141 0.814
Nd: 0.135 0.269 0.540
Nd: 0.363 0.725 0.946
Nd: 0.637 0.275 0.054
Nd: 0.865 0.731 0.460
Nd: 0.929 0.859 0.186
Zn: 0.465 0.929 0.640
Zn: 0.535 0.071 0.360

***

Entry 2:
Below is a relaxed structure of CeSnS3, with properties calculated at the GGA-PBE level.

Computed properties:
Calculated total energy, eV per atom: -5.60
Symmetry: P2_13

Cell: 8.205 8.205 8.205 Å, 90.00 90.00 90.00°
Fractional coordinates of all 20 atoms:
Ce: 0.091 0.091 0.091
Ce: 0.409 0.909 0.591
Ce: 0.591 0.409 0.909
Ce: 0.909 0.591 0.409
Sn: 0.140 0.640 0.860
Sn: 0.360 0.360 0.360
Sn: 0.640 0.860 0.140
Sn: 0.860 0.140 0.640
S: 0.008 0.274 0.362
S: 0.138 0.992 0.774
S: 0.226 0.638 0.508
S: 0.274 0.362 0.008
S: 0.362 0.008 0.274
S: 0.492 0.726 0.862
S: 0.508 0.226 0.638
S: 0.638 0.508 0.226
S: 0.726 0.862 0.492
S: 0.774 0.138 0.992
S: 0.862 0.492 0.726
S: 0.992 0.774 0.138

***

Entry 3:
Below is a relaxed structure of TaSiP2S, with properties calculated at the GGA-PBE level.

Computed properties:
E above lowest polymorph, eV/atom: 0.2353
Symmetry: P4/mmm

Cell: 4.432 4.432 4.388 Å, 90.00 90.00 90.00°
Fractional coordinates of all 5 atoms:
Ta: 0.000 0.000 0.000
Si: 0.500 0.500 0.500
P: 0.000 0.500 0.500
P: 0.500 0.000 0.500
S: 0.500 0.500 0.000

***

Entry 4:
Below is a relaxed structure of MgBi2PdO6, with properties calculated at the GGA-PBE level.

Computed properties:
Calculated total energy, eV per atom: -5.70
Symmetry: P2_1/c

Cell: 5.514 5.854 9.583 Å, 90.00 124.27 90.00°
Fractional coordinates of all 20 atoms:
Mg: 0.000 0.000 0.000
Mg: 0.000 0.500 0.500
Bi: 0.242 0.065 0.733
Bi: 0.242 0.435 0.233
Bi: 0.758 0.565 0.767
Bi: 0.758 0.935 0.267
Pd: 0.500 0.000 0.500
Pd: 0.500 0.500 0.000
O: 0.155 0.041 0.255
O: 0.155 0.459 0.755
O: 0.211 0.681 0.028
O: 0.211 0.819 0.528
O: 0.360 0.217 0.063
O: 0.360 0.283 0.563
O: 0.640 0.717 0.437
O: 0.640 0.783 0.937
O: 0.789 0.181 0.472
O: 0.789 0.319 0.972
O: 0.845 0.541 0.245
O: 0.845 0.959 0.745

***

Entry 5:
Below is a relaxed structure of BePb2, with properties calculated at the GGA-PBE level.

Computed properties:
E above lowest polymorph, eV/atom: 0.1673
ΔH_f (0 K), eV/atom: 0.46
Symmetry: I4_1/amd

Cell: 13.574 13.574 13.574 Å, 165.75 165.75 20.21°
Fractional coordinates of all 6 atoms:
Be: 0.375 0.625 0.750
Be: 0.625 0.375 0.250
Pb: 0.060 0.810 0.250
Pb: 0.190 0.940 0.250
Pb: 0.810 0.060 0.750
Pb: 0.940 0.190 0.750

***

Entry 6:
Below is a relaxed structure of Nd2MgPd3, with properties calculated at the GGA-PBE level.

Computed properties:
ΔH_f (0 K), eV/atom: -0.59
Symmetry: Immm

Cell: 6.601 6.601 6.601 Å, 140.51 129.07 66.30°
Fractional coordinates of all 6 atoms:
Nd: 0.180 0.180 0.000
Nd: 0.820 0.820 0.000
Mg: 0.500 0.500 0.000
Pd: 0.000 0.500 0.500
Pd: 0.370 0.870 0.500
Pd: 0.630 0.130 0.500

***

Entry 7:
Below is a relaxed structure of CeSnBr, with properties calculated at the GGA-PBE level.

Computed properties:
Calculated total energy, eV per atom: -4.75
Symmetry: C2/m

Cell: 5.743 5.743 9.498 Å, 114.32 114.32 47.43°
Fractional coordinates of all 6 atoms:
Ce: 0.175 0.175 0.242
Ce: 0.825 0.825 0.758
Sn: 0.178 0.178 0.897
Sn: 0.822 0.822 0.103
Br: 0.399 0.399 0.603
Br: 0.601 0.601 0.397

***

Entry 8:
Below is a relaxed structure of Mn2CoNiS6, with properties calculated at the GGA-PBE level.

Computed properties:
Calculated total energy, eV per atom: -5.93
Symmetry: C2/c

Cell: 7.543 7.543 5.739 Å, 97.17 97.17 83.19°
Fractional coordinates of all 20 atoms:
Mn: 0.110 0.281 0.301
Mn: 0.281 0.110 0.801
Mn: 0.719 0.890 0.199
Mn: 0.890 0.719 0.699
Co: 0.407 0.593 0.750
Co: 0.593 0.407 0.250
Ni: 0.242 0.758 0.250
Ni: 0.758 0.242 0.750
S: 0.042 0.222 0.623
S: 0.139 0.636 0.879
S: 0.222 0.042 0.123
S: 0.312 0.472 0.380
S: 0.364 0.861 0.621
S: 0.472 0.312 0.880
S: 0.528 0.688 0.120
S: 0.636 0.139 0.379
S: 0.688 0.528 0.620
S: 0.778 0.958 0.877
S: 0.861 0.364 0.121
S: 0.958 0.778 0.377

***

Entry 9:
Below is a relaxed structure of YCdAg2, with properties calculated at the GGA-PBE level.

Computed properties:
ΔH_f (0 K), eV/atom: 0.01
Symmetry: R3m

Cell: 9.863 9.863 9.863 Å, 19.06 19.06 19.06°
Fractional coordinates of all 4 atoms:
Y: 0.000 0.000 0.000
Cd: 0.760 0.760 0.760
Ag: 0.247 0.247 0.247
Ag: 0.505 0.505 0.505